# 1
Compound: MnNb2SbW
Source: Alexandria via LeMat-Bulk
Functional: PBE-GGA
Structure: optimized geometry

Cell lengths 4.8922, 4.7069, 4.8922 Å; angles 90.00, 90.00, 90.00 degrees
Last column: magnetic moment on the atom in μB.
Fractional coordinates of all 5 atoms:
Sb (0.5000, 0.5000, 0.5000)  -0.01
Nb (0.0000, 0.0000, 0.5000)  -0.04
Nb (0.5000, 0.0000, 0.0000)  -0.18
W (0.0000, 0.0000, 0.0000)  -0.26
Mn (0.0000, 0.5000, 0.0000)  3.06

Results
formation energy (no corrections): 1.19 eV/atom
total DFT energy (no corrections): -8.0839 eV/atom
crystal system: tetragonal


# 2
Compound: K2PtPb
Source: Alexandria via LeMat-Bulk
Functional: PBE-GGA
Structure: optimized geometry

Cell lengths 5.4047, 5.4047, 5.4047 Å; angles 120.12, 120.12, 89.80 degrees
Fractional coordinates of all 4 atoms:
K (0.2500, 0.7500, 0.5000)
K (0.0000, 0.0000, 0.0000)
Pb (0.5000, 0.5000, 0.0000)
Pt (0.7500, 0.2500, 0.5000)

Results
total DFT energy (no corrections): -2.9066 eV/atom
DFT formation energy: 0.079 eV per atom
crystal system: tetragonal


# 3
Compound: La7Pr2Er4
Source: Alexandria via LeMat-Bulk
Functional: PBE-GGA
Structure: optimized geometry

Cell lengths 6.3061, 6.3061, 13.1567 Å; angles 90.00, 90.00, 120.00 degrees
Fractional coordinates of all 13 atoms:
Pr (0.6667, 0.3333, 0.0000)
Pr (0.3333, 0.6667, 0.0000)
La (0.3834, 0.0000, 0.2325)
La (0.6166, 0.0000, 0.7675)
La (0.3834, 0.3834, 0.7675)
La (0.0000, 0.0000, 0.0000)
La (0.0000, 0.3834, 0.2325)
La (0.0000, 0.6166, 0.7675)
La (0.6166, 0.6166, 0.2325)
Er (0.0000, 0.0000, 0.6095)
Er (0.3333, 0.6667, 0.5000)
Er (0.0000, 0.0000, 0.3905)
Er (0.6667, 0.3333, 0.5000)

Results
total DFT energy (no corrections): -4.6258 eV/atom
DFT formation energy: 0.167 eV per atom
crystal system: trigonal